Material: Rb3Fe2S4
Method: DFT, GGA-PBE
State: relaxed

Cell and atoms, written as POSCAR:
```
Rb3Fe2S4
1.0
7.405 0.000 0.000
0.000 10.868 0.000
0.000 0.000 12.117
Rb Fe S
12 8 16
direct
0.071 0.072 0.138 Rb
0.071 0.428 0.138 Rb
0.097 0.250 0.771 Rb
0.403 0.750 0.271 Rb
0.429 0.572 0.638 Rb
0.429 0.928 0.638 Rb
0.571 0.072 0.362 Rb
0.571 0.428 0.362 Rb
0.597 0.250 0.729 Rb
0.903 0.750 0.229 Rb
0.929 0.572 0.862 Rb
0.929 0.928 0.862 Rb
0.052 0.130 0.473 Fe
0.052 0.370 0.473 Fe
0.448 0.630 0.973 Fe
0.448 0.870 0.973 Fe
0.552 0.130 0.027 Fe
0.552 0.370 0.027 Fe
0.948 0.630 0.527 Fe
0.948 0.870 0.527 Fe
0.077 0.750 0.656 S
0.139 0.550 0.394 S
0.139 0.950 0.394 S
0.211 0.750 0.032 S
0.289 0.250 0.532 S
0.361 0.050 0.894 S
0.361 0.450 0.894 S
0.423 0.250 0.156 S
0.577 0.750 0.844 S
0.639 0.550 0.106 S
0.639 0.950 0.106 S
0.711 0.750 0.468 S
0.789 0.250 0.968 S
0.861 0.050 0.606 S
0.861 0.450 0.606 S
0.923 0.250 0.344 S
```

Results
Crystal system ... orthorhombic
Calculated total energy ... -43.42 eV/f.u.



Material: YIn2Mo
Method: DFT, GGA-PBE
State: relaxed

Cell and atoms, written as POSCAR:
```
YIn2Mo
1.0
7.058 0.000 0.000
0.000 7.058 0.000
0.000 0.000 7.058
Y In Mo
4 8 4
direct
0.000 0.000 0.000 Y
0.000 0.500 0.500 Y
0.500 0.000 0.500 Y
0.500 0.500 0.000 Y
0.000 0.000 0.500 In
0.000 0.500 0.000 In
0.250 0.250 0.250 In
0.250 0.750 0.750 In
0.500 0.000 0.000 In
0.500 0.500 0.500 In
0.750 0.250 0.750 In
0.750 0.750 0.250 In
0.250 0.250 0.750 Mo
0.250 0.750 0.250 Mo
0.750 0.250 0.250 Mo
0.750 0.750 0.750 Mo
```

Results
Crystal system ... cubic
Calculated total energy ... -21.31 eV/f.u.



Material: LuCdInSe3
Method: DFT, GGA-PBE
State: relaxed

Cell and atoms, written as POSCAR:
```
LuCdInSe3
1.0
12.557 0.000 0.000
0.000 4.146 0.000
0.000 0.000 12.608
Lu Cd In Se
4 4 4 12
direct
0.032 0.250 0.163 Lu
0.468 0.750 0.663 Lu
0.532 0.250 0.337 Lu
0.968 0.750 0.837 Lu
0.242 0.750 0.314 Cd
0.258 0.250 0.814 Cd
0.742 0.750 0.186 Cd
0.758 0.250 0.686 Cd
0.153 0.250 0.520 In
0.347 0.750 0.020 In
0.653 0.250 0.980 In
0.847 0.750 0.480 In
0.028 0.750 0.322 Se
0.088 0.250 0.936 Se
0.246 0.750 0.674 Se
0.254 0.250 0.174 Se
0.412 0.750 0.436 Se
0.472 0.250 0.822 Se
0.528 0.750 0.178 Se
0.588 0.250 0.564 Se
0.746 0.750 0.826 Se
0.754 0.250 0.326 Se
0.912 0.750 0.064 Se
0.972 0.250 0.678 Se
```

Results
Crystal system ... orthorhombic
Calculated total energy ... -24.30 eV/f.u.